Compound: Pr2HoTe3
Source: OQMD via LeMat-Bulk
Functional: PBE
Structure: optimized geometry

Geometry as POSCAR:
```
Pr2HoTe3
1.0
4.436 0.000 0.000
-2.218 3.842 0.000
0.000 0.000 11.072
Pr Ho Te
2 1 3
Cartesian
0.000 2.561 1.902
2.218 1.281 9.170
0.000 0.000 5.536
0.000 0.000 0.000
0.000 2.561 7.225
2.218 1.281 3.848
```

Summary:
Theoretical density in g/cm3: 7.30
VASP energy in eV per atom: -5.30
Space-group type: P-3m1 (164)